Material: AcScSe
Method: DFT, PBE
State: relaxed

Values from the calculation:
VASP energy = -5.374 eV/atom
energy above the most stable polymorph in this dataset = 197.2 meV/atom
E_form (uncorrected) = -0.73 eV per atom
mass density = 6.7 Mg/m³

Cell lengths 4.7765, 4.7765, 4.3983 Å; angles 90.00, 90.00, 120.00 degrees
Space group P-6m2 (No. 187)
Asymmetric unit:
Ac: 0.0000 0.0000 0.0000 [1 per cell]
Sc: 0.3333 0.6667 0.5000 [1 per cell]
Se: 0.6667 0.3333 0.5000 [1 per cell]